ErSi2AgO6 after structural relaxation. Source: Alexandria via LeMat-Bulk, functional PBE-GGA.

Its space group is C2/c (15). For the raw total energy, the calculation gives -0.54408 Ry per atom. For the uncorrected formation energy, the calculation gives -2602 meV per atom. Its magnetization is 0.000 μB per atom.

Unit cell a=7.083 b=7.083 c=5.467 alpha=102.65 beta=102.65 gamma=86.88
Positions (direct):
Er (0.116, 0.884, 0.750)
Er (0.884, 0.116, 0.250)
Si (0.213, 0.372, 0.754)
Si (0.372, 0.213, 0.254)
Si (0.628, 0.787, 0.746)
Si (0.787, 0.628, 0.246)
Ag (0.295, 0.705, 0.250)
Ag (0.705, 0.295, 0.750)
O (0.058, 0.194, 0.652)
O (0.127, 0.591, 0.815)
O (0.194, 0.058, 0.152)
O (0.339, 0.359, 0.525)
O (0.359, 0.339, 0.025)
O (0.409, 0.873, 0.685)
O (0.591, 0.127, 0.315)
O (0.641, 0.661, 0.975)
O (0.661, 0.641, 0.475)
O (0.806, 0.942, 0.848)
O (0.873, 0.409, 0.185)
O (0.942, 0.806, 0.348)